1.
Density functional theory data (GGA-PBE) for crystalline TbPm2TaN4 at its relaxed geometry.

```
TbPm2TaN4
1.0
5.917 0.000 0.000
0.000 3.399 0.000
-1.930 0.000 5.673
Tb Pm Ta N
1 2 1 4
Direct
0.000 0.000 0.000 Tb
0.000 0.500 0.500 Pm
0.500 0.000 0.500 Pm
0.500 0.500 0.000 Ta
0.268 0.500 0.220 N
0.280 0.000 0.786 N
0.720 0.000 0.214 N
0.732 0.500 0.780 N
```

Its uncorrected energy is -8.807 eV/atom. For the density of states at the Fermi level, the calculation gives 1.78 states/eV per cell. The calculation puts the volume at 114 Å³/cell. The uncorrected formation energy comes out at -1.396 eV per atom. Its crystal system is monoclinic.

2.
Density functional theory data (GGA-PBE) for crystalline Tb2Pm3TaN6 at its relaxed geometry.

```
Tb2Pm3TaN6
1.0
2.997 -5.186 0.000
2.997 5.186 0.000
-1.994 0.000 5.686
Tb Pm Ta N
2 3 1 6
Direct
0.167 0.833 0.000 Tb
0.833 0.167 0.000 Tb
0.000 0.000 0.500 Pm
0.333 0.667 0.500 Pm
0.667 0.333 0.500 Pm
0.500 0.500 0.000 Ta
0.120 0.426 0.778 N
0.269 0.269 0.228 N
0.426 0.120 0.778 N
0.574 0.880 0.222 N
0.731 0.731 0.772 N
0.880 0.574 0.222 N
```

Its uncorrected energy is -8.581 eV/atom. For the density of states at the Fermi level, the calculation gives 1.90 states/eV per cell. The calculation puts the volume at 177 Å³/cell. The uncorrected formation energy comes out at -1.471 eV per atom. Its crystal system is monoclinic.

3.
Density functional theory data (GGA-PBE) for crystalline Pm2ThTaN4 at its relaxed geometry.

```
Pm2ThTaN4
1.0
6.041 0.000 0.000
0.000 3.434 0.000
-1.914 0.000 5.756
Pm Th Ta N
2 1 1 4
Direct
0.000 0.000 0.000 Pm
0.000 0.500 0.500 Pm
0.500 0.000 0.500 Th
0.500 0.500 0.000 Ta
0.281 0.500 0.224 N
0.293 0.000 0.788 N
0.707 0.000 0.212 N
0.719 0.500 0.776 N
```

Its uncorrected energy is -9.094 eV/atom. For the density of states at the Fermi level, the calculation gives 3.67 states/eV per cell. The calculation puts the volume at 119 Å³/cell. The uncorrected formation energy comes out at -1.335 eV per atom. Its crystal system is monoclinic.